No. 1
! Sm2Ag2Pt15 | Alexandria via LeMat-Bulk | PBE | optimized geometry; values from VASP
! * space group: R-3m, No. 166
! * formation energy: -0.437 eV/atom
&SYSTEM
  ibrav = 0, nat = 19, ntyp = 3
/
ATOMIC_SPECIES
Sm 150.36 Sm.upf
Ag 107.87 Ag.upf
Pt 195.08 Pt.upf
CELL_PARAMETERS angstrom
7.0093 -0.0575 -0.0512
0.8523 6.9576 -0.0512
0.8523 0.7481 6.9174
ATOMIC_POSITIONS crystal
Sm 0.3456 0.3456 0.3456
Sm 0.6544 0.6544 0.6544
Ag 0.1007 0.1007 0.1007
Ag 0.8993 0.8993 0.8993
Pt 0.5000 0.0000 0.0000
Pt 0.0000 0.0000 0.5000
Pt 0.0000 0.5000 0.0000
Pt 0.0000 0.6825 0.3175
Pt 0.6825 0.3175 0.0000
Pt 0.3175 0.0000 0.6825
Pt 0.3175 0.6825 0.0000
Pt 0.6825 0.0000 0.3175
Pt 0.0000 0.3175 0.6825
Pt 0.1645 0.6567 0.6567
Pt 0.6567 0.6567 0.1645
Pt 0.6567 0.1645 0.6567
Pt 0.8355 0.3433 0.3433
Pt 0.3433 0.3433 0.8355
Pt 0.3433 0.8355 0.3433

***

No. 2
! Tm8Tl3Os2 | Alexandria via LeMat-Bulk | PBE | optimized geometry; values from VASP
! * space group: C2/m, No. 12
! * formation energy: -0.187 eV/atom
&SYSTEM
  ibrav = 0, nat = 13, ntyp = 3
/
ATOMIC_SPECIES
Tm 168.93 Tm.upf
Tl 204.38 Tl.upf
Os 190.23 Os.upf
CELL_PARAMETERS angstrom
-1.1619 -1.9647 -3.2851
8.6637 -4.3902 -0.4388
-7.3574 -4.3173 5.6409
ATOMIC_POSITIONS crystal
Tm 0.2571 0.5751 0.1503
Tm 0.7429 0.4249 0.8497
Tm 0.2020 0.1581 0.3162
Tm 0.7980 0.8419 0.6838
Tm 0.2529 0.1222 0.6398
Tm 0.2529 0.5176 0.6398
Tm 0.7471 0.4824 0.3602
Tm 0.7471 0.8778 0.3602
Tl 0.5000 0.0000 0.0000
Tl 0.0000 0.7623 0.0000
Tl 0.0000 0.2377 0.0000
Os 0.7381 0.2677 0.5354
Os 0.2619 0.7323 0.4646

***

No. 3
! Re2CBr | Alexandria via LeMat-Bulk | PBE | optimized geometry; values from VASP
! * space group: Fm-3m, No. 225
! * distance to the lowest polymorph of the same formula: 762.1 meV/atom
&SYSTEM
  ibrav = 0, nat = 4, ntyp = 3
/
ATOMIC_SPECIES
Re 186.21 Re.upf
C 12.01 C.upf
Br 79.90 Br.upf
CELL_PARAMETERS angstrom
0.0000 2.9577 2.9577
2.9577 0.0000 2.9577
2.9577 2.9577 0.0000
ATOMIC_POSITIONS crystal
Re 0.2500 0.2500 0.2500
Re 0.7500 0.7500 0.7500
C 0.0000 0.0000 0.0000
Br 0.5000 0.5000 0.5000

***

No. 4
! YRhBr4 | Alexandria via LeMat-Bulk | PBE | optimized geometry; values from VASP
! * space group: F-43m, No. 216
! * E: -2.93 eV/atom
&SYSTEM
  ibrav = 0, nat = 6, ntyp = 3
/
ATOMIC_SPECIES
Y 88.91 Y.upf
Rh 102.91 Rh.upf
Br 79.90 Br.upf
CELL_PARAMETERS angstrom
-3.7601 -4.1687 2.3604
-5.8727 -0.0636 -1.6111
-2.1479 -4.4946 -3.5033
ATOMIC_POSITIONS crystal
Y 0.0000 0.0000 0.0000
Rh 0.7500 0.7500 0.7500
Br 0.8741 0.3753 0.3753
Br 0.3753 0.3753 0.8741
Br 0.3753 0.8741 0.3753
Br 0.3753 0.3753 0.3753

***

No. 5
! TiZnCr4 | Alexandria via LeMat-Bulk | PBE | optimized geometry; values from VASP
! * space group: F-43m, No. 216
! * formation energy: 0.129 eV/atom
&SYSTEM
  ibrav = 0, nat = 6, ntyp = 3
/
ATOMIC_SPECIES
Cr 52.00 Cr.upf
Zn 65.41 Zn.upf
Ti 47.87 Ti.upf
CELL_PARAMETERS angstrom
4.8131 0.0000 0.0000
2.4065 4.1682 0.0000
2.4065 1.3894 3.9298
ATOMIC_POSITIONS crystal
Cr 0.6258 0.6258 0.1225
Cr 0.6258 0.1225 0.6258
Cr 0.6258 0.6258 0.6258
Cr 0.1226 0.6258 0.6258
Zn 0.0000 0.0000 0.0000
Ti 0.2500 0.2500 0.2500

***

No. 6
! K2CaCO4 | Alexandria via LeMat-Bulk | PBE | optimized geometry; values from VASP
! * space group: Fddd, No. 70
! * E: -5.70 eV/atom
&SYSTEM
  ibrav = 0, nat = 16, ntyp = 4
/
ATOMIC_SPECIES
K 39.10 K.upf
Ca 40.08 Ca.upf
C 12.01 C.upf
O 16.00 O.upf
CELL_PARAMETERS angstrom
5.2127 0.0000 0.0000
2.6064 5.3681 0.0000
2.6064 0.0000 11.5733
ATOMIC_POSITIONS crystal
K 0.1872 0.0000 0.6256
K 0.8128 0.0000 0.3744
K 0.5628 0.5000 0.8744
K 0.9372 0.5000 0.1256
Ca 0.7500 0.5000 0.5000
Ca 0.0000 0.0000 0.0000
C 0.2500 0.5000 0.5000
C 0.5000 0.0000 0.0000
O 0.3907 0.8401 0.0715
O 0.3023 0.1599 0.9285
O 0.7692 0.8401 0.9285
O 0.5378 0.1599 0.0715
O 0.3593 0.6599 0.4285
O 0.4477 0.3401 0.5715
O 0.9808 0.6599 0.5715
O 0.2122 0.3401 0.4285

***

No. 7
! Ho2AgAu2 | Alexandria via LeMat-Bulk | PBE | optimized geometry; values from VASP
! * space group: P4/mbm, No. 127
! * formation energy: -0.700 eV/atom
! * distance to the lowest polymorph of the same formula: 0.0 meV/atom
&SYSTEM
  ibrav = 0, nat = 10, ntyp = 3
/
ATOMIC_SPECIES
Ho 164.93 Ho.upf
Ag 107.87 Ag.upf
Au 196.97 Au.upf
CELL_PARAMETERS angstrom
-0.1943 3.6678 -0.3691
-2.3870 -0.8773 -7.4618
-7.5017 -0.1540 2.4179
ATOMIC_POSITIONS crystal
Ho 0.5000 0.1686 0.6686
Ho 0.5000 0.6686 0.8314
Ho 0.5000 0.8314 0.3314
Ho 0.5000 0.3314 0.1686
Ag 0.0000 0.0000 0.0000
Ag 0.0000 0.5000 0.5000
Au 0.0000 0.3689 0.8689
Au 0.0000 0.8689 0.6311
Au 0.0000 0.6311 0.1311
Au 0.0000 0.1311 0.3689

***

No. 8
! TeRh2 | Alexandria via LeMat-Bulk | PBE | optimized geometry; values from VASP
! * space group: Pnma, No. 62
! * distance to the lowest polymorph of the same formula: 5.9 meV/atom
&SYSTEM
  ibrav = 0, nat = 12, ntyp = 2
/
ATOMIC_SPECIES
Rh 102.91 Rh.upf
Te 127.60 Te.upf
CELL_PARAMETERS angstrom
-2.8180 -0.5497 -2.6183
4.6233 -0.8803 -4.7911
0.0995 -7.7575 1.5214
ATOMIC_POSITIONS crystal
Rh 0.2500 0.0351 0.8439
Rh 0.7500 0.4649 0.3439
Rh 0.2500 0.5351 0.6561
Rh 0.7500 0.9649 0.1561
Rh 0.2500 0.1326 0.4250
Rh 0.7500 0.3674 0.9250
Rh 0.2500 0.6326 0.0750
Rh 0.7500 0.8674 0.5750
Te 0.2500 0.7470 0.3775
Te 0.7500 0.7530 0.8775
Te 0.2500 0.2470 0.1225
Te 0.7500 0.2530 0.6225

***

Number 1: size of the total moment 0.00 μB/cell. Number 2: size of the total moment 0.00 μB/cell. Number 3: size of the total moment 0.00 μB/cell. Number 4: size of the total moment 0.69 μB/cell. Number 5: size of the total moment 0.00 μB/cell. Number 6: size of the total moment 0.00 μB/cell. Number 7: size of the total moment 0.00 μB/cell. Number 8: size of the total moment 0.00 μB/cell.